Pa2MnBiO8, relaxed, DFT PBE with a Hubbard U; mass density = 8.7 g/cm3; total DFT energy (no corrections) = -8.445 eV per atom
1.0
5.446 0.000 0.000
0.000 5.446 0.000
-2.723 -2.723 5.465
Mn Bi O Pa
1 1 8 2
direct
0.750 0.250 0.500
0.000 0.000 0.000
0.595 0.691 0.806
0.873 0.922 0.322
0.449 0.400 0.322
0.600 0.127 0.678
0.309 0.789 0.194
0.885 0.405 0.194
0.078 0.551 0.678
0.211 0.115 0.806
0.500 0.500 0.000
0.250 0.750 0.500